(1)
A plane-wave DFT calculation with GGA-PBE was carried out for crystalline DyCu at its relaxed geometry.

Computed properties:
Calculated formation energy: 0.5095 eV/atom

Unit cell a=6.1866 b=6.1866 c=6.1866 alpha=90.00 beta=90.00 gamma=90.00
With the nearest neighbours (Å) after each atom.
Space group F-43m (No. 216)
Inequivalent atoms, fractional coordinates:
Dy1 0.0000 0.0000 0.0000 [4 per cell]  4 Cu 2.68
Cu1 0.2500 0.2500 0.2500 [4 per cell]  4 Dy 2.68

=====

(2)
A plane-wave DFT calculation with GGA-PBE was carried out for crystalline Sm2DyCu4Ge4 at its relaxed geometry.

Computed properties:
Total energy: -4.930 eV per atom

Unit cell a=4.2652 b=6.6523 c=14.0931 alpha=90.00 beta=90.00 gamma=90.00
With the nearest neighbours (Å) after each atom.
Space group Immm (No. 71)
Inequivalent atoms, fractional coordinates:
Sm1 0.0000 0.0000 0.1308 [4 per cell]  6 Cu 3.02-3.09, 6 Ge 3.04-3.10
Dy1 0.0000 0.5000 0.0000 [2 per cell]  6 Ge 2.95-3.04
Cu1 0.0000 0.1880 0.3316 [8 per cell]  4 Ge 2.50-2.64, 1 Cu 2.50
Ge1 0.0000 0.3062 0.5000 [4 per cell]  2 Cu 2.50, 1 Ge 2.58
Ge2 0.0000 0.5000 0.2155 [4 per cell]  6 Cu 2.56-2.64

=====

no.,theoretical density (Mg/m³)
1,6.341
2,8.372